Below is Ta3Mo5 after structural relaxation, with properties calculated at the PBEsol level.

Symmetry: C2/m
Polymorph energy (0 for the lowest one): 57 meV per atom

Cell: 3.169 5.281 8.273 Å, 79.37 78.96 72.54°
Atoms (fractional coordinates):
Mo1 0.004 0.249 0.744
Mo2 0.750 0.880 0.620
Mo3 0.500 0.500 0.500
Mo4 0.250 0.120 0.380
Mo5 0.996 0.751 0.256
Ta1 0.744 0.379 0.133
Ta2 0.500 0.000 0.000
Ta3 0.256 0.621 0.867

***

Below is Ta3Mo2 after structural relaxation, with properties calculated at the PBEsol level.

Symmetry: R-3m
Polymorph energy (0 for the lowest one): 47 meV per atom

Cell: 4.555 4.555 5.298 Å, 64.54 64.54 60.00°
Atoms (fractional coordinates):
Mo1 0.302 0.302 0.094
Mo2 0.698 0.698 0.906
Ta1 0.500 0.500 0.500
Ta2 0.898 0.898 0.305
Ta3 0.102 0.102 0.695

***

Below is Ta2Mo after structural relaxation, with properties calculated at the PBEsol level.

Symmetry: P4/mmm
Polymorph energy (0 for the lowest one): 869 meV per atom

Cell: 3.133 4.324 4.324 Å, 90.00 90.00 90.00°
Atoms (fractional coordinates):
Mo1 0.000 0.000 0.000
Ta1 0.500 0.000 0.500
Ta2 0.500 0.500 0.000

***

Below is Ta3Mo after structural relaxation, with properties calculated at the PBEsol level.

Symmetry: Cmcm
Polymorph energy (0 for the lowest one): 23 meV per atom

Cell: 4.593 5.589 5.589 Å, 109.22 90.00 90.00°
Atoms (fractional coordinates):
Mo1 0.250 0.127 0.873
Mo2 0.750 0.873 0.127
Ta1 0.750 0.882 0.632
Ta2 0.250 0.620 0.380
Ta3 0.750 0.368 0.118
Ta4 0.250 0.118 0.368
Ta5 0.250 0.632 0.882
Ta6 0.750 0.380 0.620

***

Below is Ta3Mo5 after structural relaxation, with properties calculated at the PBEsol level.

Symmetry: Amm2
Polymorph energy (0 for the lowest one): 42 meV per atom

Cell: 3.175 6.365 7.106 Å, 116.61 90.00 90.00°
Atoms (fractional coordinates):
Mo1 0.000 0.248 0.253
Mo2 0.500 0.127 0.500
Mo3 0.000 0.995 0.747
Mo4 0.500 0.880 0.000
Mo5 0.500 0.627 0.500
Ta1 0.000 0.756 0.253
Ta2 0.000 0.502 0.747
Ta3 0.500 0.366 0.000

***

Below is TaMo7 after structural relaxation, with properties calculated at the PBEsol level.

Symmetry: C2/m
Polymorph energy (0 for the lowest one): 1 meV per atom

Cell: 5.214 5.216 5.216 Å, 117.17 95.19 95.19°
Atoms (fractional coordinates):
Mo1 0.751 0.626 0.122
Mo2 0.003 0.750 0.750
Mo3 0.249 0.878 0.374
Mo4 0.500 0.000 0.000
Mo5 0.751 0.122 0.626
Mo6 0.997 0.250 0.250
Mo7 0.249 0.374 0.878
Ta1 0.500 0.500 0.500

***

Below is Ta2Mo after structural relaxation, with properties calculated at the PBEsol level.

Symmetry: P4/nmm
Polymorph energy (0 for the lowest one): 68 meV per atom

Cell: 3.206 3.206 9.771 Å, 90.00 90.00 90.00°
Atoms (fractional coordinates):
Mo1 0.500 0.000 0.922
Mo2 0.000 0.500 0.078
Ta1 0.500 0.000 0.242
Ta2 0.000 0.500 0.414
Ta3 0.500 0.000 0.586
Ta4 0.000 0.500 0.758

***

Below is Ta3Mo5 after structural relaxation, with properties calculated at the PBEsol level.

Symmetry: I4/mmm
Polymorph energy (0 for the lowest one): 3 meV per atom

Cell: 4.490 4.490 7.106 Å, 108.42 108.42 90.00°
Atoms (fractional coordinates):
Mo1 0.876 0.376 0.753
Mo2 0.500 0.500 0.000
Mo3 0.124 0.624 0.247
Mo4 0.376 0.876 0.753
Mo5 0.624 0.124 0.247
Ta1 0.751 0.751 0.501
Ta2 0.000 0.000 0.000
Ta3 0.249 0.249 0.499